# 1
Entry from the Alexandria database: a relaxed structure of BeCrNi6 (PBE).

Volume, Å³/atom: 10.689
M_tot, μB per cell: 4.1
E_form, eV/atom: -0.0385
Fermi-level density of states, states/eV per atom: 1.526
Space group: No. 139

a = 7.3755 Å, b = 7.3755 Å, c = 7.3755 Å
α = 152.48°, β = 152.48°, γ = 39.31°
Fractional positions:
Be: 0.0000 0.0000 0.0000
Cr: 0.5000 0.5000 0.0000
Ni: 0.1205 0.6205 0.5000
Ni: 0.2480 0.2480 0.0000
Ni: 0.3795 0.8795 0.5000
Ni: 0.6205 0.1205 0.5000
Ni: 0.7520 0.7520 0.0000
Ni: 0.8795 0.3795 0.5000

=====

# 2
Entry from the Alexandria database: a relaxed structure of BeCr3Ni (PBE).

Volume, Å³/atom: 14.867
M_tot, μB per cell: 1.3
E_form, eV/atom: 1.5715
Fermi-level density of states, states/eV per atom: 1.078
Space group: No. 221

a = 4.2046 Å, b = 4.2046 Å, c = 4.2046 Å
α = 90.00°, β = 90.00°, γ = 90.00°
Fractional positions:
Be: 0.0000 0.0000 0.0000
Cr: 0.0000 0.5000 0.5000
Cr: 0.5000 0.0000 0.5000
Cr: 0.5000 0.5000 0.0000
Ni: 0.5000 0.5000 0.5000

=====

# 3
Entry from the Alexandria database: a relaxed structure of BeCr2Ni (PBE).

Volume, Å³/atom: 10.552
M_tot, μB per cell: 0.0
E_form, eV/atom: -0.0214
Fermi-level density of states, states/eV per atom: 0.635
Space group: No. 6

a = 2.3935 Å, b = 3.8693 Å, c = 4.5846 Å
α = 90.00°, β = 96.24°, γ = 90.00°
Fractional positions:
Be: 0.0000 0.0000 0.0000
Cr: 0.4405 0.0000 0.4891
Cr: 0.6310 0.5000 0.2279
Ni: 0.0651 0.5000 0.7508

=====

# 4
Entry from the Alexandria database: a relaxed structure of BeCr2Ni (PBE).

Volume, Å³/atom: 10.447
M_tot, μB per cell: 0.0
E_form, eV/atom: -0.0542
Fermi-level density of states, states/eV per atom: 0.897
Space group: No. 71

a = 4.5908 Å, b = 4.5908 Å, c = 4.5908 Å
α = 142.44°, β = 134.28°, γ = 60.60°
Fractional positions:
Be: 0.0000 0.0000 0.0000
Cr: 0.2475 0.7475 0.5000
Cr: 0.7525 0.2525 0.5000
Ni: 0.5000 0.5000 0.0000

=====

# 5
Entry from the Alexandria database: a relaxed structure of Be4CrNi5 (PBE).

Volume, Å³/atom: 9.339
M_tot, μB per cell: 0.8
E_form, eV/atom: -0.3647
Fermi-level density of states, states/eV per atom: 0.499
Space group: No. 123

a = 2.5623 Å, b = 2.5623 Å, c = 14.2252 Å
α = 90.00°, β = 90.00°, γ = 90.00°
Fractional positions:
Be: 0.0000 0.0000 0.0931
Be: 0.0000 0.0000 0.2817
Be: 0.0000 0.0000 0.7183
Be: 0.0000 0.0000 0.9069
Cr: 0.0000 0.0000 0.5000
Ni: 0.5000 0.5000 0.0000
Ni: 0.5000 0.5000 0.1864
Ni: 0.5000 0.5000 0.3751
Ni: 0.5000 0.5000 0.6249
Ni: 0.5000 0.5000 0.8136

=====

# 6
Entry from the Alexandria database: a relaxed structure of BeCr2Ni (PBE).

Volume, Å³/atom: 10.656
M_tot, μB per cell: 0.0
E_form, eV/atom: 0.0474
Fermi-level density of states, states/eV per atom: 0.692
Space group: No. 8

a = 4.1729 Å, b = 4.1729 Å, c = 4.4973 Å
α = 94.56°, β = 94.56°, γ = 33.10°
Fractional positions:
Be: 0.0000 0.0000 0.0000
Cr: 0.5133 0.5133 0.4974
Cr: 0.7485 0.7485 0.2546
Ni: 0.2573 0.2573 0.7799

=====

# 7
Entry from the Alexandria database: a relaxed structure of BeCr2Ni (PBE).

Volume, Å³/atom: 10.978
M_tot, μB per cell: 0.0
E_form, eV/atom: 0.0485
Fermi-level density of states, states/eV per atom: 0.472
Space group: No. 216

a = 3.9600 Å, b = 3.9600 Å, c = 3.9600 Å
α = 60.00°, β = 60.00°, γ = 60.00°
Fractional positions:
Be: 0.0000 0.0000 0.0000
Cr: 0.5000 0.5000 0.5000
Cr: 0.7500 0.7500 0.7500
Ni: 0.2500 0.2500 0.2500

=====

# 8
Entry from the Alexandria database: a relaxed structure of BeCrNi4 (PBE).

Volume, Å³/atom: 11.572
M_tot, μB per cell: 2.9
E_form, eV/atom: 0.1581
Fermi-level density of states, states/eV per atom: 1.585
Space group: No. 216

a = 4.6134 Å, b = 4.6134 Å, c = 4.6134 Å
α = 60.00°, β = 60.00°, γ = 60.00°
Fractional positions:
Be: 0.0000 0.0000 0.0000
Cr: 0.7500 0.7500 0.7500
Ni: 0.3747 0.3747 0.3747
Ni: 0.3747 0.3747 0.8759
Ni: 0.3747 0.8759 0.3747
Ni: 0.8759 0.3747 0.3747

=====

# 9
Entry from the Alexandria database: a relaxed structure of BeCrNi3 (PBE).

Volume, Å³/atom: 14.817
M_tot, μB per cell: 0.0
E_form, eV/atom: 1.3275
Fermi-level density of states, states/eV per atom: 1.002
Space group: No. 221

a = 4.2000 Å, b = 4.2000 Å, c = 4.2000 Å
α = 90.00°, β = 90.00°, γ = 90.00°
Fractional positions:
Be: 0.0000 0.0000 0.0000
Cr: 0.5000 0.5000 0.5000
Ni: 0.0000 0.5000 0.5000
Ni: 0.5000 0.0000 0.5000
Ni: 0.5000 0.5000 0.0000

=====

# 10
Entry from the Alexandria database: a relaxed structure of BeCr2Ni (PBE).

Volume, Å³/atom: 10.525
M_tot, μB per cell: 0.0
E_form, eV/atom: -0.0087
Fermi-level density of states, states/eV per atom: 0.788
Space group: No. 10

a = 2.4004 Å, b = 3.8086 Å, c = 4.6234 Å
α = 90.00°, β = 95.09°, γ = 90.00°
Fractional positions:
Be: 0.0000 0.0000 0.0000
Cr: 0.4758 0.5000 0.2323
Cr: 0.5242 0.5000 0.7677
Ni: 0.0000 0.0000 0.5000

=====

# 11
Entry from the Alexandria database: a relaxed structure of BeCr2Ni (PBE).

Volume, Å³/atom: 10.569
M_tot, μB per cell: 0.0
E_form, eV/atom: 0.0311
Fermi-level density of states, states/eV per atom: 1.184
Space group: No. 65

a = 4.4948 Å, b = 4.4948 Å, c = 2.3864 Å
α = 90.00°, β = 90.00°, γ = 118.73°
Fractional positions:
Be: 0.0000 0.0000 0.0000
Cr: 0.0000 0.5000 0.5000
Cr: 0.5000 0.0000 0.5000
Ni: 0.5000 0.5000 0.0000

=====

# 12
Entry from the Alexandria database: a relaxed structure of BeCr2Ni2 (PBE).

Volume, Å³/atom: 11.611
M_tot, μB per cell: 2.7
E_form, eV/atom: 0.3307
Fermi-level density of states, states/eV per atom: 0.715
Space group: No. 127

a = 6.8140 Å, b = 6.8140 Å, c = 2.5007 Å
α = 90.00°, β = 90.00°, γ = 90.00°
Fractional positions:
Be: 0.0000 0.0000 0.0000
Be: 0.5000 0.5000 0.0000
Cr: 0.1759 0.3241 0.5000
Cr: 0.3241 0.8241 0.5000
Cr: 0.6759 0.1759 0.5000
Cr: 0.8241 0.6759 0.5000
Ni: 0.1224 0.6224 0.0000
Ni: 0.3776 0.1224 0.0000
Ni: 0.6224 0.8776 0.0000
Ni: 0.8776 0.3776 0.0000

=====

# 13
Entry from the Alexandria database: a relaxed structure of BeCr3Ni (PBE).

Volume, Å³/atom: 11.786
M_tot, μB per cell: 0.0
E_form, eV/atom: 0.8928
Fermi-level density of states, states/eV per atom: 1.349
Space group: No. 221

a = 3.8914 Å, b = 3.8914 Å, c = 3.8914 Å
α = 90.00°, β = 90.00°, γ = 90.00°
Fractional positions:
Be: 0.0000 0.0000 0.0000
Cr: 0.0000 0.0000 0.5000
Cr: 0.0000 0.5000 0.0000
Cr: 0.5000 0.0000 0.0000
Ni: 0.5000 0.5000 0.5000

=====

# 14
Entry from the Alexandria database: a relaxed structure of BeCr2Ni (PBE).

Volume, Å³/atom: 10.846
M_tot, μB per cell: 0.1
E_form, eV/atom: -0.0265
Fermi-level density of states, states/eV per atom: 0.302
Space group: No. 99

a = 2.8744 Å, b = 2.8744 Å, c = 5.2507 Å
α = 90.00°, β = 90.00°, γ = 90.00°
Fractional positions:
Be: 0.0000 0.0000 0.0000
Cr: 0.0000 0.0000 0.4928
Cr: 0.5000 0.5000 0.2613
Ni: 0.5000 0.5000 0.7918

=====

# 15
Entry from the Alexandria database: a relaxed structure of BeCr2Ni (PBE).

Volume, Å³/atom: 10.501
M_tot, μB per cell: 0.0
E_form, eV/atom: -0.0142
Fermi-level density of states, states/eV per atom: 0.943
Space group: No. 123

a = 3.2684 Å, b = 3.2684 Å, c = 3.9321 Å
α = 90.00°, β = 90.00°, γ = 90.00°
Fractional positions:
Be: 0.0000 0.0000 0.0000
Cr: 0.0000 0.5000 0.5000
Cr: 0.5000 0.0000 0.5000
Ni: 0.5000 0.5000 0.0000